Here is an optimized crystal structure of CsMg2Tl6 from the Alexandria database. Energies are from PBE. Values from VASP.

**Space group**: Fd-3m
**Calculated volume**: 39.12 Å³/atom
**ΔE_f**: 0.182 eV/atom

```
&SYSTEM
  ibrav = 0, nat = 18, ntyp = 3
/
ATOMIC_SPECIES
Tl 204.38 Tl.upf
Cs 132.91 Cs.upf
Mg 24.30 Mg.upf
CELL_PARAMETERS angstrom
-9.5523 -1.8363 2.2611
-3.4140 -9.3848 0.0089
-2.3203 -4.4611 8.6282
ATOMIC_POSITIONS crystal
Tl 0.4849 0.0151 0.4849
Tl 0.0151 0.4849 0.4849
Tl 0.7651 0.2349 0.2349
Tl 0.2349 0.7651 0.7651
Tl 0.2349 0.7651 0.2349
Tl 0.7651 0.7651 0.2349
Tl 0.4849 0.0151 0.0151
Tl 0.2349 0.2349 0.7651
Tl 0.4849 0.4849 0.0151
Tl 0.0151 0.0151 0.4849
Tl 0.7651 0.2349 0.7651
Tl 0.0151 0.4849 0.0151
Cs 0.7500 0.7500 0.7500
Cs 0.5000 0.5000 0.5000
Mg 0.1250 0.6250 0.1250
Mg 0.1250 0.1250 0.6250
Mg 0.1250 0.1250 0.1250
Mg 0.6250 0.1250 0.1250
```

Here is an optimized crystal structure of TaPdPt from the Alexandria database. Energies are from PBE. Values from VASP.

**Offset from the most stable computed form**: 109.1 meV/atom
**Space group**: Cmcm
**Calculated volume**: 16.24 Å³/atom
**ΔE_f**: -0.379 eV/atom

```
&SYSTEM
  ibrav = 0, nat = 6, ntyp = 3
/
ATOMIC_SPECIES
Pd 106.42 Pd.upf
Pt 195.08 Pt.upf
Ta 180.95 Ta.upf
CELL_PARAMETERS angstrom
-0.1597 4.1989 1.7037
-1.7805 -3.4567 2.3188
4.8238 -0.8222 2.4782
ATOMIC_POSITIONS crystal
Pd 0.1668 0.3335 0.2500
Pd 0.8332 0.6665 0.7500
Pt 0.8331 0.6662 0.2500
Pt 0.1669 0.3338 0.7500
Ta 0.5000 0.0000 0.0000
Ta 0.5000 0.0000 0.5000
```

Here is an optimized crystal structure of CaOsS2Cl from the Alexandria database. Energies are from PBE. Values from VASP.

**Offset from the most stable computed form**: 1315.1 meV/atom
**Space group**: P4/mmm
**Formation energy from raw total energies**: 84.7 kJ/mol of atoms
**Calculated volume**: 27.45 Å³/atom

```
&SYSTEM
  ibrav = 0, nat = 5, ntyp = 4
/
ATOMIC_SPECIES
Ca 40.08 Ca.upf
S 32.06 S.upf
Cl 35.45 Cl.upf
Os 190.23 Os.upf
CELL_PARAMETERS angstrom
5.2532 0.0000 0.0000
0.0000 5.2532 0.0000
0.0000 0.0000 4.9731
ATOMIC_POSITIONS crystal
Ca 0.0000 0.0000 0.0000
S 0.0000 0.5000 0.0000
S 0.5000 0.0000 0.0000
Cl 0.0000 0.0000 0.5000
Os 0.5000 0.5000 0.5000
```

Here is an optimized crystal structure of Er2S from the Alexandria database. Energies are from PBE. Values from VASP.

**Space group**: Pnma
**Formation energy from raw total energies**: -120.0 kJ/mol of atoms
**Calculated volume**: 25.23 Å³/atom

```
&SYSTEM
  ibrav = 0, nat = 12, ntyp = 2
/
ATOMIC_SPECIES
Er 167.26 Er.upf
S 32.06 S.upf
CELL_PARAMETERS angstrom
-1.1733 0.7897 3.4887
0.3540 -5.9824 1.4732
12.3603 1.6623 3.7805
ATOMIC_POSITIONS crystal
Er 0.7500 0.2342 0.5406
Er 0.2500 0.2466 0.2933
Er 0.2500 0.7658 0.4594
Er 0.7500 0.7466 0.2067
Er 0.7500 0.7534 0.7067
Er 0.7500 0.2658 0.0406
Er 0.2500 0.2534 0.7933
Er 0.2500 0.7342 0.9594
S 0.2500 0.0045 0.1225
S 0.7500 0.5045 0.3775
S 0.7500 0.9955 0.8775
S 0.2500 0.4955 0.6225
```

Here is an optimized crystal structure of Be2AsW from the Alexandria database. Energies are from PBE. Values from VASP.

**Space group**: P4mm
**Calculated volume**: 14.79 Å³/atom
**ΔE_f**: 0.497 eV/atom

```
&SYSTEM
  ibrav = 0, nat = 4, ntyp = 3
/
ATOMIC_SPECIES
W 183.84 W.upf
Be 9.01 Be.upf
As 74.92 As.upf
CELL_PARAMETERS angstrom
2.7541 0.0000 0.0000
0.0000 2.7541 0.0000
0.0000 0.0000 7.7989
ATOMIC_POSITIONS crystal
W 0.0000 0.0000 0.4491
Be 0.0000 0.0000 0.1092
Be 0.5000 0.5000 0.2343
As 0.5000 0.5000 0.7073
```

Here is an optimized crystal structure of Ba5Te from the Alexandria database. Energies are from PBE. Values from VASP.

**Offset from the most stable computed form**: 0.0 meV/atom
**Space group**: Cm
**Formation energy from raw total energies**: -44.2 kJ/mol of atoms
**Calculated volume**: 56.55 Å³/atom

```
&SYSTEM
  ibrav = 0, nat = 6, ntyp = 2
/
ATOMIC_SPECIES
Ba 137.33 Ba.upf
Te 127.60 Te.upf
CELL_PARAMETERS angstrom
4.0397 -2.6703 -6.3355
4.0809 -5.9617 -3.3753
-6.1946 -6.0379 -6.6272
ATOMIC_POSITIONS crystal
Ba 0.9284 0.9284 0.0156
Ba 0.6379 0.6379 0.1718
Ba 0.9734 0.9734 0.6058
Ba 0.6826 0.6826 0.7621
Ba 0.3057 0.3057 0.3890
Te 0.3054 0.3054 0.8889
```

Here is an optimized crystal structure of PrGaPd2 from the Alexandria database. Energies are from PBE. Values from VASP.

**Space group**: Cmmm
**Calculated volume**: 21.56 Å³/atom
**ΔE_f**: -0.476 eV/atom

```
&SYSTEM
  ibrav = 0, nat = 4, ntyp = 3
/
ATOMIC_SPECIES
Ga 69.72 Ga.upf
Pr 140.91 Pr.upf
Pd 106.42 Pd.upf
CELL_PARAMETERS angstrom
4.1140 0.0000 0.0000
0.0000 4.5860 0.5700
0.0000 -1.4426 4.3911
ATOMIC_POSITIONS crystal
Ga 0.5000 0.2500 0.7500
Pr 0.5000 0.7500 0.2500
Pd 0.0000 0.0507 0.9492
Pd 0.0000 0.4493 0.5508
```

Here is an optimized crystal structure of AcPm5Pb8 from the Alexandria database. Energies are from PBE. Values from VASP.

**Space group**: I-4
**Calculated volume**: 32.76 Å³/atom
**ΔE_f**: -0.404 eV/atom

```
&SYSTEM
  ibrav = 0, nat = 14, ntyp = 3
/
ATOMIC_SPECIES
Pb 207.20 Pb.upf
Pm 145.00 Pm.upf
Ac 227.00 Ac.upf
CELL_PARAMETERS angstrom
8.4282 -0.2018 0.3469
-3.0416 7.8628 -0.3469
-2.3449 -4.0754 7.0062
ATOMIC_POSITIONS crystal
Pb 0.7737 0.2038 0.3381
Pb 0.2645 0.2228 0.3425
Pb 0.6575 0.9220 0.8803
Pb 0.1197 0.7772 0.0417
Pb 0.6619 0.4355 0.8656
Pb 0.1344 0.7962 0.5699
Pb 0.9583 0.0780 0.7355
Pb 0.4301 0.5645 0.2263
Pm 0.8537 0.8479 0.2720
Pm 0.7280 0.5818 0.5759
Pm 0.9942 0.4182 0.1463
Pm 0.4241 0.1521 0.0058
Pm 0.5000 0.0000 0.5000
Ac 0.2500 0.5000 0.7500
```

no.,DOS(E_F) (states/eV/cell)
1,10.07
2,6.44
3,5.26
4,9.78
5,2.21
6,8.58
7,2.18
8,9.34